Density functional theory data (GGA-PBE) for a relaxed structure of ScTlNiSe3.

Cell: 12.0043 3.8845 11.6090 Å, 90.00 90.00 90.00°
Positions (direct):
Sc1 0.0291 0.2500 0.1734
Sc2 0.4709 0.7500 0.6734
Sc3 0.5291 0.2500 0.3266
Sc4 0.9709 0.7500 0.8266
Tl1 0.1816 0.2500 0.5117
Tl2 0.3184 0.7500 0.0117
Tl3 0.6816 0.2500 0.9883
Tl4 0.8184 0.7500 0.4883
Ni1 0.2269 0.7500 0.3348
Ni2 0.2731 0.2500 0.8348
Ni3 0.7269 0.7500 0.1652
Ni4 0.7731 0.2500 0.6652
Se1 0.0295 0.7500 0.3366
Se2 0.0980 0.2500 0.9349
Se3 0.2471 0.7500 0.7169
Se4 0.2529 0.2500 0.2169
Se5 0.4020 0.7500 0.4349
Se6 0.4705 0.2500 0.8366
Se7 0.5295 0.7500 0.1634
Se8 0.5980 0.2500 0.5651
Se9 0.7471 0.7500 0.7831
Se10 0.7529 0.2500 0.2831
Se11 0.9020 0.7500 0.0651
Se12 0.9705 0.2500 0.6634

Calculated values
- Crystal system: orthorhombic
- Calculated total energy: -4.9036 eV per atom
- Magnetic moment: 0.0 μB/f.u.
- Symmetry: Pnma

---

Density functional theory data (GGA-PBE) for a relaxed structure of ScSi2Ni2.

Cell: 3.8299 3.8299 9.5362 Å, 90.00 90.00 90.00°
Positions (direct):
Sc1 0.0000 0.0000 0.0000
Sc2 0.5000 0.5000 0.5000
Si1 0.0000 0.5000 0.2500
Si2 0.0000 0.5000 0.7500
Si3 0.5000 0.0000 0.2500
Si4 0.5000 0.0000 0.7500
Ni1 0.0000 0.0000 0.3777
Ni2 0.0000 0.0000 0.6223
Ni3 0.5000 0.5000 0.1223
Ni4 0.5000 0.5000 0.8777

Calculated values
- Crystal system: tetragonal
- Calculated total energy: -6.2946 eV per atom
- Magnetic moment: 0.0 μB/f.u.
- Symmetry: I4/mmm

---

Density functional theory data (GGA-PBE) for a relaxed structure of ScSiNi.

Cell: 4.4577 4.4577 5.2937 Å, 90.00 90.00 120.00°
Positions (direct):
Sc1 0.3333 0.6667 0.2500
Sc2 0.6667 0.3333 0.7500
Si1 0.3333 0.6667 0.7500
Si2 0.6667 0.3333 0.2500
Ni1 0.0000 0.0000 0.0000
Ni2 0.0000 0.0000 0.5000

Calculated values
- Crystal system: hexagonal
- Calculated total energy: -6.1344 eV per atom
- Magnetic moment: 0.0 μB/f.u.
- Symmetry: P6_3/mmc

---

Density functional theory data (GGA-PBE) for a relaxed structure of Sc3Si4Ni2.

Cell: 11.6604 3.9806 11.9450 Å, 90.00 90.00 90.00°
Positions (direct):
Sc1 0.0197 0.2500 0.1866
Sc2 0.1957 0.7500 0.5800
Sc3 0.2471 0.2500 0.3489
Sc4 0.2529 0.7500 0.8489
Sc5 0.3043 0.2500 0.0800
Sc6 0.4803 0.7500 0.6866
Sc7 0.5197 0.2500 0.3134
Sc8 0.6957 0.7500 0.9200
Sc9 0.7471 0.2500 0.1511
Sc10 0.7529 0.7500 0.6511
Sc11 0.8043 0.2500 0.4200
Sc12 0.9803 0.7500 0.8134
Si1 0.0582 0.2500 0.4676
Si2 0.1081 0.2500 0.9362
Si3 0.1222 0.2500 0.7331
Si4 0.1739 0.7500 0.2022
Si5 0.3261 0.2500 0.7022
Si6 0.3778 0.7500 0.2331
Si7 0.3919 0.7500 0.4362
Si8 0.4418 0.7500 0.9676
Si9 0.5582 0.2500 0.0324
Si10 0.6081 0.2500 0.5638
Si11 0.6222 0.2500 0.7669
Si12 0.6739 0.7500 0.2978
Si13 0.8261 0.2500 0.7978
Si14 0.8778 0.7500 0.2669
Si15 0.8919 0.7500 0.0638
Si16 0.9418 0.7500 0.5324
Ni1 0.0507 0.7500 0.3655
Ni2 0.0907 0.7500 0.0271
Ni3 0.4093 0.2500 0.5271
Ni4 0.4493 0.2500 0.8655
Ni5 0.5507 0.7500 0.1345
Ni6 0.5907 0.7500 0.4729
Ni7 0.9093 0.2500 0.9729
Ni8 0.9493 0.2500 0.6345

Calculated values
- Crystal system: orthorhombic
- Calculated total energy: -6.6024 eV per atom
- Magnetic moment: 0.0 μB/f.u.
- Symmetry: Pnma

---

Density functional theory data (GGA-PBE) for a relaxed structure of Sc3Si4Ni11.

Cell: 7.9313 7.9313 8.3329 Å, 90.00 90.00 120.00°
Positions (direct):
Sc1 0.1974 0.3948 0.2500
Sc2 0.1974 0.8026 0.2500
Sc3 0.3948 0.1974 0.7500
Sc4 0.6052 0.8026 0.2500
Sc5 0.8026 0.1974 0.7500
Sc6 0.8026 0.6052 0.7500
Si1 0.0000 0.0000 0.2500
Si2 0.0000 0.0000 0.7500
Si3 0.0000 0.5000 0.0000
Si4 0.0000 0.5000 0.5000
Si5 0.5000 0.0000 0.0000
Si6 0.5000 0.0000 0.5000
Si7 0.5000 0.5000 0.0000
Si8 0.5000 0.5000 0.5000
Ni1 0.1220 0.5610 0.7500
Ni2 0.1523 0.3045 0.5931
Ni3 0.1523 0.3045 0.9069
Ni4 0.1523 0.8477 0.5931
Ni5 0.1523 0.8477 0.9069
Ni6 0.3045 0.1523 0.0931
Ni7 0.3045 0.1523 0.4069
Ni8 0.3333 0.6667 0.0038
Ni9 0.3333 0.6667 0.4962
Ni10 0.4390 0.5610 0.7500
Ni11 0.4390 0.8780 0.7500
Ni12 0.5610 0.1220 0.2500
Ni13 0.5610 0.4390 0.2500
Ni14 0.6667 0.3333 0.5038
Ni15 0.6667 0.3333 0.9962
Ni16 0.6955 0.8477 0.5931
Ni17 0.6955 0.8477 0.9069
Ni18 0.8477 0.1523 0.0931
Ni19 0.8477 0.1523 0.4069
Ni20 0.8477 0.6955 0.0931
Ni21 0.8477 0.6955 0.4069
Ni22 0.8780 0.4390 0.2500

Calculated values
- Crystal system: hexagonal
- Calculated total energy: -6.2776 eV per atom
- Magnetic moment: 0.0 μB/f.u.
- Symmetry: P6_3/mmc

---

Density functional theory data (GGA-PBE) for a relaxed structure of ScSiNi.

Cell: 4.0404 4.0404 6.3275 Å, 90.00 90.00 120.00°
Positions (direct):
Sc1 0.0000 0.0000 0.0000
Sc2 0.0000 0.0000 0.5000
Si1 0.3333 0.6667 0.2321
Si2 0.6667 0.3333 0.7321
Ni1 0.3333 0.6667 0.7875
Ni2 0.6667 0.3333 0.2875

Calculated values
- Crystal system: hexagonal
- Calculated total energy: -6.5940 eV per atom
- Magnetic moment: 0.0 μB/f.u.
- Symmetry: P6_3mc